Record 1
LiZnSe | PBE-GGA | optimized geometry

Cell and atoms, written as POSCAR:
```
LiZnSe
1.0
4.023 0.000 0.000
0.000 4.023 0.000
0.000 0.000 7.149
Zn Se Li
2 2 2
direct
0.500 0.500 0.500 Zn
0.000 0.000 0.000 Zn
0.500 0.500 0.000 Se
0.000 0.000 0.500 Se
0.500 0.000 0.750 Li
0.000 0.500 0.250 Li
```

## Properties
Space-group type   I-4m2
Formation energy without anion corrections   -44 kJ per mole of atoms
Spin magnetization   0.0 μB/cell
Excess energy over the best structure of this formula in the dataset   0.2097 eV/atom
Electronic total energy   -2.675 eV/atom



Record 2
LiZn2Se2 | PBE-GGA | optimized geometry

Cell and atoms, written as POSCAR:
```
LiZn2Se2
1.0
7.339 0.000 0.000
0.000 7.339 0.000
0.000 0.000 3.728
Se Li Zn
4 2 4
direct
0.708 0.208 0.000 Se
0.292 0.792 0.000 Se
0.792 0.708 0.000 Se
0.208 0.292 0.000 Se
0.500 0.500 0.000 Li
0.000 0.000 0.000 Li
0.376 0.124 0.500 Zn
0.624 0.876 0.500 Zn
0.876 0.376 0.500 Zn
0.124 0.624 0.500 Zn
```

## Properties
Space-group type   P4/mbm
Formation energy without anion corrections   -43 kJ per mole of atoms
Spin magnetization   0.0 μB/cell
Excess energy over the best structure of this formula in the dataset   0.0000 eV/atom
Electronic total energy   -2.730 eV/atom